No. 1
This record from the Alexandria database describes YMnTe2 after structural relaxation. The functional is PBE.

- Calculated density: 6218 kg/m³
- E: -24.1 eV/cell
- Formation energy without anion corrections: -0.56 eV/atom

a = 3.910 Å, b = 3.837 Å, c = 7.321 Å
α = 90.00°, β = 104.07°, γ = 90.00°
Space group P2/m (No. 10)
Inequivalent atoms, fractional coordinates:
Y 0.000 0.000 0.000 (multiplicity 1)
Mn 0.000 0.000 0.500 (multiplicity 1)
Te 0.359 0.500 0.751 (multiplicity 2)

No. 2
This record from the Alexandria database describes AlHI3 after structural relaxation. The functional is PBE.

- Calculated density: 3203 kg/m³
- E: -48.4 eV/cell

a = 8.204 Å, b = 7.999 Å, c = 15.092 Å
α = 90.00°, β = 121.14°, γ = 90.00°
Space group P2_1/c (No. 14)
Inequivalent atoms, fractional coordinates:
Al 0.023 0.177 0.435 (multiplicity 4)
H 0.395 0.552 0.104 (multiplicity 4)
I 0.041 0.147 0.616 (multiplicity 4)
I 0.261 0.652 0.689 (multiplicity 4)
I 0.335 0.234 0.959 (multiplicity 4)

No. 3
This record from the Alexandria database describes Er4Rh6O19 after structural relaxation. The functional is PBE.

- Calculated density: 7330 kg/m³
- E: -406.0 eV/cell
- Formation energy without anion corrections: -1.60 eV/atom

a = 8.965 Å, b = 8.965 Å, c = 8.965 Å
α = 90.00°, β = 90.00°, γ = 90.00°
Space group I23 (No. 197)
Inequivalent atoms, fractional coordinates:
Er 0.146 0.146 0.854 (multiplicity 8)
Rh 0.000 0.339 0.500 (multiplicity 12)
O 0.000 0.000 0.000 (multiplicity 2)
O 0.000 0.000 0.337 (multiplicity 12)
O 0.027 0.319 0.716 (multiplicity 24)

No. 4
This record from the Alexandria database describes NdSn2Pt6 after structural relaxation. The functional is PBE.

- Calculated density: 14192 kg/m³
- E: -104.8 eV/cell
- Energy relative to the elements: -8.65 kcal/mol of atoms

a = 3.534 Å, b = 8.218 Å, c = 12.505 Å
α = 90.00°, β = 90.00°, γ = 90.00°
Space group Immm (No. 71)
Inequivalent atoms, fractional coordinates:
Nd 0.000 0.000 0.000 (multiplicity 2)
Sn 0.000 0.500 0.135 (multiplicity 4)
Pt 0.000 0.168 0.500 (multiplicity 4)
Pt 0.000 0.337 0.320 (multiplicity 8)

No. 5
This record from the Alexandria database describes Co2IrPdI after structural relaxation. The functional is PBE.

- Calculated density: 8895 kg/m³
- E: -21.8 eV/cell
- Formation energy without anion corrections: 1.61 eV/atom

a = 4.558 Å, b = 4.558 Å, c = 4.883 Å
α = 90.00°, β = 90.00°, γ = 90.00°
Space group P4/mmm (No. 123)
Inequivalent atoms, fractional coordinates:
Co 0.000 0.500 0.000 (multiplicity 2)
Ir 0.000 0.000 0.500 (multiplicity 1)
Pd 0.500 0.500 0.500 (multiplicity 1)
I 0.000 0.000 0.000 (multiplicity 1)

No. 6
This record from the Alexandria database describes DyHoGePd after structural relaxation. The functional is PBE.

- Calculated density: 9513 kg/m³
- E: -89.0 eV/cell
- Energy relative to the elements: -18.76 kcal/mol of atoms

a = 7.072 Å, b = 7.072 Å, c = 7.072 Å
α = 90.00°, β = 90.00°, γ = 90.00°
Space group F-43m (No. 216)
Inequivalent atoms, fractional coordinates:
Dy 0.000 0.000 0.000 (multiplicity 4)
Ho 0.000 0.000 0.500 (multiplicity 4)
Ge 0.250 0.250 0.750 (multiplicity 4)
Pd 0.250 0.250 0.250 (multiplicity 4)

No. 7
This record from the Alexandria database describes CoSbIrI2 after structural relaxation. The functional is PBE.

- Calculated density: 6670 kg/m³
- E: -18.0 eV/cell
- Formation energy without anion corrections: 1.04 eV/atom

a = 5.613 Å, b = 5.613 Å, c = 4.952 Å
α = 90.00°, β = 90.00°, γ = 90.00°
Space group P4/mmm (No. 123)
Inequivalent atoms, fractional coordinates:
Co 0.000 0.000 0.000 (multiplicity 1)
Sb 0.500 0.500 0.000 (multiplicity 1)
Ir 0.500 0.500 0.500 (multiplicity 1)
I 0.000 0.500 0.500 (multiplicity 2)

No. 8
This record from the Alexandria database describes LiPrNdAg after structural relaxation. The functional is PBE.

- Calculated density: 6117 kg/m³
- E: -58.1 eV/cell
- Energy relative to the elements: -1.26 kcal/mol of atoms

a = 7.573 Å, b = 7.573 Å, c = 7.573 Å
α = 90.00°, β = 90.00°, γ = 90.00°
Space group F-43m (No. 216)
Inequivalent atoms, fractional coordinates:
Li 0.000 0.000 0.000 (multiplicity 4)
Pr 0.250 0.250 0.750 (multiplicity 4)
Nd 0.250 0.250 0.250 (multiplicity 4)
Ag 0.000 0.000 0.500 (multiplicity 4)

No. 9
This record from the Alexandria database describes NaTiIn after structural relaxation. The functional is PBE.

- Calculated density: 4718 kg/m³
- E: -46.4 eV/cell
- Energy relative to the elements: 2.65 kcal/mol of atoms

a = 10.813 Å, b = 3.026 Å, c = 9.121 Å
α = 90.00°, β = 118.84°, γ = 90.00°
Space group C2/m (No. 12)
Inequivalent atoms, fractional coordinates:
Na 0.172 0.000 0.329 (multiplicity 4)
Ti 0.161 0.000 0.862 (multiplicity 4)
In 0.000 0.500 0.000 (multiplicity 2)
In 0.000 0.500 0.500 (multiplicity 2)

No. 10
This record from the Alexandria database describes Tl2AgPb after structural relaxation. The functional is PBE.

- Calculated density: 11040 kg/m³
- E: -21.6 eV/cell
- Energy relative to the elements: 2.87 kcal/mol of atoms

a = 4.903 Å, b = 4.903 Å, c = 9.058 Å
α = 90.00°, β = 90.00°, γ = 90.00°
Space group I-4m2 (No. 119)
Inequivalent atoms, fractional coordinates:
Tl 0.000 0.000 0.000 (multiplicity 2)
Tl 0.000 0.500 0.250 (multiplicity 2)
Ag 0.000 0.500 0.750 (multiplicity 2)
Pb 0.000 0.000 0.500 (multiplicity 2)

No. 11
This record from the Alexandria database describes TiV2W5 after structural relaxation. The functional is PBE.

- Calculated density: 14437 kg/m³
- E: -182.6 eV/cell
- Energy relative to the elements: -1.11 kcal/mol of atoms

a = 6.260 Å, b = 6.260 Å, c = 6.275 Å
α = 90.00°, β = 90.00°, γ = 90.00°
Space group I4/mmm (No. 139)
Inequivalent atoms, fractional coordinates:
Ti 0.000 0.000 0.000 (multiplicity 2)
V 0.000 0.500 0.000 (multiplicity 4)
W 0.000 0.000 0.500 (multiplicity 2)
W 0.250 0.250 0.250 (multiplicity 8)

No. 12
This record from the Alexandria database describes Ba2SrSnSe4 after structural relaxation. The functional is PBE.

- Calculated density: 4941 kg/m³
- E: -36.4 eV/cell
- Formation energy without anion corrections: -1.62 eV/atom

a = 7.878 Å, b = 4.559 Å, c = 7.908 Å
α = 90.00°, β = 109.46°, γ = 90.00°
Space group P2/m (No. 10)
Inequivalent atoms, fractional coordinates:
Ba 0.000 0.000 0.000 (multiplicity 1)
Ba 0.000 0.500 0.500 (multiplicity 1)
Sr 0.500 0.000 0.500 (multiplicity 1)
Sn 0.500 0.500 0.000 (multiplicity 1)
Se 0.266 0.500 0.253 (multiplicity 2)
Se 0.267 0.000 0.757 (multiplicity 2)

Number 1: magnetic moment 4.20 μB/f.u., DOS(E_F) 2.542 states/eV/cell. Number 2: magnetic moment 1.00 μB/f.u., DOS(E_F) 0.000 states/eV/cell. Number 3: magnetic moment 7.29 μB/f.u., DOS(E_F) 41.859 states/eV/cell. Number 4: magnetic moment 0.00 μB/f.u., DOS(E_F) 13.106 states/eV/cell. Number 5: magnetic moment 3.58 μB/f.u., DOS(E_F) 8.379 states/eV/cell. Number 6: magnetic moment 0.00 μB/f.u., DOS(E_F) 6.217 states/eV/cell. Number 7: magnetic moment 2.49 μB/f.u., DOS(E_F) 10.100 states/eV/cell. Number 8: magnetic moment 0.65 μB/f.u., DOS(E_F) 19.562 states/eV/cell. Number 9: magnetic moment 0.00 μB/f.u., DOS(E_F) 4.827 states/eV/cell. Number 10: magnetic moment 0.00 μB/f.u., DOS(E_F) 3.770 states/eV/cell. Number 11: magnetic moment 0.00 μB/f.u., DOS(E_F) 22.266 states/eV/cell. Number 12: magnetic moment 0.00 μB/f.u., DOS(E_F) 0.000 states/eV/cell.